No. 1
A relaxed structure of Na3Er2SnO6. Source: Alexandria, functional PBE.

```
12
Lattice="2.936 -5.083 0.000 2.936 5.083 0.000 -1.959 0.000 5.606" Properties=species:S:1:pos:R:3 pbc="T T T"
Na 0.000 0.000 0.000
Na 2.936 1.650 0.000
Na 2.936 -1.650 0.000
Er 1.957 3.386 2.803
Er 1.957 -3.386 2.803
Sn 1.957 0.000 2.803
O 0.966 1.713 1.613
O -0.026 0.000 3.997
O 0.966 -1.713 1.613
O 2.948 1.713 3.994
O 3.940 0.000 1.610
O 2.948 -1.713 3.994
```

Summary:
The calculation puts the energy relative to the elements, uncorrected at -2.332 eV per atom. The value obtained for the size of the total moment is 0.00 μB/atom.


No. 2
A relaxed structure of Na2ErSnO4. Source: Alexandria, functional PBE.

```
8
Lattice="5.858 0.000 0.000 0.000 3.408 0.000 -1.964 0.000 5.612" Properties=species:S:1:pos:R:3 pbc="T T T"
Na 0.000 0.000 0.000
Na 2.929 1.704 0.000
Er -0.982 1.704 2.806
Sn 1.947 0.000 2.806
O -0.039 0.000 3.992
O 0.981 1.704 1.617
O 2.913 1.704 3.995
O 3.933 0.000 1.620
```

Summary:
The calculation puts the energy relative to the elements, uncorrected at -2.095 eV per atom. The value obtained for the size of the total moment is 0.00 μB/atom.


No. 3
A relaxed structure of NaErSnO3. Source: Alexandria, functional PBE.

```
12
Lattice="6.235 0.000 0.000 0.000 3.375 0.000 -0.715 0.000 10.365" Properties=species:S:1:pos:R:3 pbc="T T T"
Na 0.677 0.844 3.269
Na 4.843 2.531 7.096
Er 1.961 0.844 6.393
Er 3.559 2.531 3.972
Sn 1.125 2.531 9.191
Sn 4.395 0.844 1.174
O 0.264 0.844 8.016
O 1.537 2.531 4.968
O 2.911 0.844 2.620
O 2.609 2.531 7.745
O 3.983 0.844 5.397
O 5.255 2.531 2.349
```

Summary:
The calculation puts the energy relative to the elements, uncorrected at -2.274 eV per atom. The value obtained for the size of the total moment is 0.00 μB/atom.


No. 4
A relaxed structure of Na4Er3SnO8. Source: Alexandria, functional PBE.

```
16
Lattice="3.390 1.957 5.596 -3.390 1.957 5.596 0.000 -3.915 5.596" Properties=species:S:1:pos:R:3 pbc="T T T"
Na 0.000 0.000 0.000
Na -1.695 -0.979 5.596
Na -1.695 0.979 11.193
Na 0.000 1.957 5.596
Er -3.390 0.000 8.395
Er -1.695 0.979 2.798
Er 1.695 0.979 2.798
Sn 0.000 0.000 8.395
O -1.709 -0.987 9.582
O 0.000 0.000 3.958
O 0.000 -1.974 7.208
O -1.709 0.987 7.208
O 1.709 -0.987 9.582
O 0.000 1.974 9.582
O 0.000 0.000 12.832
O 1.709 0.987 7.208
```

Summary:
The calculation puts the energy relative to the elements, uncorrected at -2.468 eV per atom. The value obtained for the size of the total moment is 0.00 μB/atom.


No. 5
A relaxed structure of Na3TbEr2O6. Source: Alexandria, functional PBE.

```
12
Lattice="2.953 -5.114 0.000 2.953 5.114 0.000 -1.968 0.000 5.576" Properties=species:S:1:pos:R:3 pbc="T T T"
Na 0.000 0.000 0.000
Na 2.953 1.719 0.000
Na 2.953 -1.719 0.000
Tb 1.968 0.000 2.788
Er 1.968 3.410 2.788
Er 1.968 -3.410 2.788
O 0.972 1.726 1.617
O -0.024 0.000 3.963
O 0.972 -1.726 1.617
O 2.965 1.726 3.959
O 3.961 0.000 1.614
O 2.965 -1.726 3.959
```

Summary:
The calculation puts the energy relative to the elements, uncorrected at -2.819 eV per atom. The value obtained for the size of the total moment is 0.00 μB/atom.


No. 6
A relaxed structure of Na2ErTcO6. Source: Alexandria, functional PBE.

```
20
Lattice="5.601 0.000 0.000 0.000 5.730 0.000 -5.560 0.000 8.007" Properties=species:S:1:pos:R:3 pbc="T T T"
Na -0.041 0.216 2.009
Na -2.821 2.649 6.012
Na 2.862 3.081 1.995
Na 0.082 5.514 5.998
Er 2.800 0.000 0.000
Er 0.021 2.865 4.003
Tc -2.780 0.000 4.003
Tc 0.000 2.865 0.000
O -4.532 1.306 7.623
O -1.752 1.559 3.620
O -4.034 3.943 7.670
O -1.254 4.652 3.667
O -2.290 0.142 5.836
O 0.490 2.723 1.833
O -0.448 3.007 6.174
O 2.331 5.588 2.171
O 1.295 1.078 4.340
O 4.075 1.787 0.337
O 1.793 4.171 4.387
O 4.573 4.424 0.383
```

Summary:
The calculation puts the energy relative to the elements, uncorrected at -2.004 eV per atom. The value obtained for the size of the total moment is 0.00 μB/atom.


No. 7
A relaxed structure of NaEr2TcO6. Source: Alexandria, functional PBE.

```
10
Lattice="2.795 1.614 4.994 -2.795 1.614 4.994 0.000 -3.228 4.994" Properties=species:S:1:pos:R:3 pbc="T T T"
Na 0.000 0.000 0.000
Er 0.000 0.000 3.259
Er 0.000 0.000 10.875
Tc 0.000 0.000 7.849
O -0.772 -1.536 6.852
O -1.528 0.082 9.159
O -0.944 1.437 6.852
O 0.693 -1.364 9.159
O 1.716 0.099 6.852
O 0.835 1.283 9.159
```

Summary:
The calculation puts the energy relative to the elements, uncorrected at -2.512 eV per atom. The value obtained for the size of the total moment is 0.20 μB/atom.


No. 8
A relaxed structure of NaErTc2O8. Source: Alexandria, functional PBE.

```
12
Lattice="5.924 0.000 0.000 -2.962 5.130 0.000 0.000 0.000 6.827" Properties=species:S:1:pos:R:3 pbc="T T T"
Na 0.000 0.000 0.000
Er 0.000 0.000 3.413
Tc 0.000 3.420 5.417
Tc 2.962 1.710 1.410
O 0.000 1.716 4.827
O -1.476 4.272 4.827
O 0.000 3.420 0.328
O 1.486 0.858 2.000
O 1.476 4.272 4.827
O 2.962 1.710 6.498
O 4.438 0.858 2.000
O 2.962 3.414 2.000
```

Summary:
The calculation puts the energy relative to the elements, uncorrected at -1.879 eV per atom. The value obtained for the size of the total moment is 0.17 μB/atom.


No. 9
A relaxed structure of NaErTcO5. Source: Alexandria, functional PBE.

```
16
Lattice="3.629 -4.832 0.000 3.629 4.832 0.000 -2.899 0.000 7.389" Properties=species:S:1:pos:R:3 pbc="T T T"
Na 1.455 3.011 5.542
Na 2.904 -3.011 1.847
Er 3.629 0.000 0.000
Er 2.179 0.000 3.694
Tc 2.904 3.210 1.847
Tc 1.455 -3.210 5.542
O -1.447 0.526 6.757
O 1.828 2.095 2.750
O 0.002 -0.526 3.062
O 3.981 2.095 0.944
O 1.455 0.782 5.542
O 2.904 -0.782 1.847
O 0.378 -2.095 6.445
O 4.356 0.526 4.326
O 2.531 -2.095 4.638
O 5.806 -0.526 0.632
```

Summary:
The calculation puts the energy relative to the elements, uncorrected at -2.070 eV per atom. The value obtained for the size of the total moment is 0.13 μB/atom.


No. 10
A relaxed structure of NaErTe2O6. Source: Alexandria, functional PBE.

```
20
Lattice="4.516 -5.406 0.000 4.516 5.406 0.000 -1.018 0.000 6.261" Properties=species:S:1:pos:R:3 pbc="T T T"
Na 3.753 2.922 4.696
Na 4.262 -2.922 1.565
Er 4.262 0.930 1.565
Er 3.753 -0.930 4.696
Te 0.888 1.263 4.531
Te 1.397 -1.263 1.400
Te 6.618 1.263 4.860
Te 7.127 -1.263 1.730
O 3.833 4.092 0.280
O 2.509 2.251 1.965
O 4.691 4.092 2.850
O 2.554 0.871 5.629
O 3.063 -0.871 2.498
O 6.014 2.251 1.165
O 2.000 -2.251 5.095
O 4.952 0.871 3.763
O 5.461 -0.871 0.632
O 3.324 -4.092 3.410
O 5.505 -2.251 4.296
O 4.182 -4.092 5.981
```

Summary:
The calculation puts the energy relative to the elements, uncorrected at -1.784 eV per atom. The value obtained for the size of the total moment is 0.00 μB/atom.


No. 11
A relaxed structure of NaEr3Te4O12. Source: Alexandria, functional PBE.

```
20
Lattice="5.775 3.334 2.976 -5.775 3.334 2.976 0.000 -6.669 2.976" Properties=species:S:1:pos:R:3 pbc="T T T"
Na 0.000 0.000 0.000
Er -3.309 -0.937 2.976
Er 2.466 -2.397 2.976
Er 0.843 3.334 2.976
Te -2.358 -4.084 4.464
Te 0.000 0.000 4.464
Te -2.358 4.084 4.464
Te 4.716 0.000 4.464
O -1.306 -1.449 2.146
O -4.900 0.000 4.464
O -0.601 1.856 2.146
O -2.041 0.000 4.464
O 1.908 -0.407 2.146
O 2.450 -4.244 4.464
O 1.021 -1.768 4.464
O -0.601 -1.856 6.781
O 1.021 1.768 4.464
O -1.306 1.449 6.781
O 2.450 4.244 4.464
O 1.908 0.407 6.781
```

Summary:
The calculation puts the energy relative to the elements, uncorrected at -1.773 eV per atom. The value obtained for the size of the total moment is 0.00 μB/atom.


No. 12
A relaxed structure of NaErTi2O6. Source: Alexandria, functional PBE.

```
20
Lattice="7.600 0.000 0.000 0.000 5.537 0.000 0.000 0.000 5.317" Properties=species:S:1:pos:R:3 pbc="T T T"
Na 0.000 1.203 0.000
Na 3.800 4.333 2.658
Er 0.000 3.739 2.770
Er 3.800 1.798 0.112
Ti 1.876 1.292 2.754
Ti 1.924 4.245 0.095
Ti 5.676 4.245 0.095
Ti 5.724 1.292 2.754
O 0.000 1.530 2.251
O 0.000 4.301 0.581
O 1.485 5.215 3.669
O 1.582 2.557 4.152
O 2.218 2.980 1.493
O 2.315 0.322 1.011
O 3.800 1.236 3.240
O 3.800 4.007 4.909
O 5.284 0.322 1.011
O 5.382 2.980 1.493
O 6.018 2.557 4.152
O 6.115 5.215 3.669
```

Summary:
The calculation puts the energy relative to the elements, uncorrected at -3.029 eV per atom. The value obtained for the size of the total moment is 0.00 μB/atom.


No. 13
A relaxed structure of Na2ErTiO4. Source: Alexandria, functional PBE.

```
8
Lattice="5.578 0.000 0.000 0.000 3.221 0.000 -1.865 0.000 5.531" Properties=species:S:1:pos:R:3 pbc="T T T"
Na 0.000 0.000 0.000
Na 2.789 1.610 0.000
Er -0.933 1.610 2.765
Ti 1.856 0.000 2.765
O 0.103 0.000 3.925
O 1.007 1.610 1.628
O 2.706 1.610 3.903
O 3.609 0.000 1.605
```

Summary:
The calculation puts the energy relative to the elements, uncorrected at -2.577 eV per atom. The value obtained for the size of the total moment is 0.13 μB/atom.


No. 14
A relaxed structure of Na4Er3TiO8. Source: Alexandria, functional PBE.

```
16
Lattice="5.732 -3.321 0.000 5.732 3.321 0.000 -3.841 0.000 5.543" Properties=species:S:1:pos:R:3 pbc="T T T"
Na 0.000 0.000 0.000
Na 2.866 1.661 0.000
Na 2.866 -1.661 0.000
Na 5.732 0.000 0.000
Er -1.920 0.000 2.772
Er 0.946 1.661 2.772
Er 0.946 -1.661 2.772
Ti 3.812 0.000 2.772
O -0.007 0.000 3.949
O 2.873 1.618 3.939
O 4.751 1.618 1.604
O 2.058 0.000 1.675
O 5.565 0.000 3.868
O 2.873 -1.618 3.939
O 4.751 -1.618 1.604
O 7.630 0.000 1.594
```

Summary:
The calculation puts the energy relative to the elements, uncorrected at -2.692 eV per atom. The value obtained for the size of the total moment is 0.06 μB/atom.


No. 15
A relaxed structure of Na2ErTlO4. Source: Alexandria, functional PBE.

```
8
Lattice="5.834 0.000 0.000 0.000 3.400 0.000 -1.984 0.000 5.630" Properties=species:S:1:pos:R:3 pbc="T T T"
Na 0.000 0.000 0.000
Na 2.917 1.700 0.000
Er -0.992 1.700 2.815
Tl 1.925 0.000 2.815
O -0.101 0.000 4.040
O 0.935 1.700 1.561
O 2.915 1.700 4.069
O 3.951 0.000 1.590
```

Summary:
The calculation puts the energy relative to the elements, uncorrected at -1.939 eV per atom. The value obtained for the size of the total moment is 0.00 μB/atom.


No. 16
A relaxed structure of Na2ErTmO4. Source: Alexandria, functional PBE.

```
8
Lattice="5.848 0.000 0.000 0.000 3.376 0.000 -1.948 0.000 5.565" Properties=species:S:1:pos:R:3 pbc="T T T"
Na 0.000 0.000 0.000
Na 2.924 1.688 0.000
Er -0.974 1.688 2.782
Tm 1.950 0.000 2.782
O 0.009 0.000 3.946
O 0.983 1.688 1.621
O 2.916 1.688 3.944
O 3.891 0.000 1.618
```

Summary:
The calculation puts the energy relative to the elements, uncorrected at -2.855 eV per atom. The value obtained for the size of the total moment is 0.00 μB/atom.


No. 17
A relaxed structure of Na2ErUO6. Source: Alexandria, functional PBE.

```
20
Lattice="5.787 0.000 0.000 0.000 5.924 0.000 -5.776 0.000 8.282" Properties=species:S:1:pos:R:3 pbc="T T T"
Na -0.038 0.215 2.063
Na -2.926 2.747 6.204
Na 2.937 3.177 2.079
Na 0.049 5.709 6.220
Er -2.888 0.000 4.141
Er 0.000 2.962 0.000
U 2.893 0.000 0.000
U 0.005 2.962 4.141
O -4.560 1.138 7.882
O -1.672 1.824 3.741
O -3.969 4.216 7.848
O -1.081 4.669 3.707
O -2.326 0.220 6.298
O 0.562 2.742 2.157
O -0.551 3.181 6.126
O 2.337 5.704 1.984
O 1.092 1.255 4.576
O 3.980 1.707 0.435
O 1.683 4.099 4.542
O 4.571 4.786 0.400
```

Summary:
The calculation puts the energy relative to the elements, uncorrected at -2.646 eV per atom. The value obtained for the size of the total moment is 0.09 μB/atom.


No. 18
A relaxed structure of Na2ErUO5. Source: Alexandria, functional PBE.

```
9
Lattice="4.134 0.000 0.000 0.000 4.134 0.000 0.000 0.000 8.579" Properties=species:S:1:pos:R:3 pbc="T T T"
Na 0.000 0.000 1.988
Na 0.000 0.000 6.591
Er 2.067 2.067 4.290
U 2.067 2.067 0.000
O 0.000 0.000 4.290
O 0.000 2.067 0.000
O 2.067 0.000 0.000
O 2.067 2.067 2.174
O 2.067 2.067 6.406
```

Summary:
The calculation puts the energy relative to the elements, uncorrected at -2.522 eV per atom. The value obtained for the size of the total moment is 0.11 μB/atom.